No. 1
Entry from the Alexandria database: a geometry-optimized Sr3CdF8 structure (GGA-PBE).

Cell lengths 5.7672, 5.7672, 11.5230 Å; angles 90.00, 90.00, 90.00 degrees
Last column: nearest neighbours and their distance in Å.
Space group I4/mmm (No. 139)
Symmetry-distinct sites (fractional):
1 Sr 0.0000 0.0000 0.0000  8 F 2.52
2 Sr 0.0000 0.5000 0.2500  8 F 2.52
3 Cd 0.0000 0.0000 0.5000  8 F 2.43
4 F 0.2429 0.2429 0.3780  1 Cd 2.43, 3 Sr 2.52

Computed properties:
E_form (uncorrected): -3.50 eV/atom
Fermi-level density of states: 0.000 states/eV/cell
V: 16.0 Å³ per atom
electronic total energy: -125.9 eV for the cell shown

=====

No. 2
Entry from the Alexandria database: a geometry-optimized Sr4CdF10 structure (GGA-PBE).

Cell lengths 9.1436, 9.1436, 5.7845 Å; angles 90.00, 90.00, 90.00 degrees
Last column: nearest neighbours and their distance in Å.
Space group I4/m (No. 87)
Symmetry-distinct sites (fractional):
1 Sr 0.1001 0.7017 0.0000  8 F 2.51-2.54
2 Cd 0.0000 0.0000 0.5000  8 F 2.43
3 F 0.0000 0.5000 0.2500  4 Sr 2.52
4 F 0.0980 0.1936 0.2582  1 Cd 2.43, 3 Sr 2.51-2.54

Computed properties:
E_form (uncorrected): -3.59 eV/atom
Fermi-level density of states: 0.000 states/eV/cell
V: 16.1 Å³ per atom
electronic total energy: -160.5 eV for the cell shown

=====

No. 3
Entry from the Alexandria database: a geometry-optimized Sr2CdF6 structure (GGA-PBE).

Cell lengths 4.0676, 5.7397, 12.1204 Å; angles 90.00, 90.00, 90.00 degrees
Last column: nearest neighbours and their distance in Å.
Space group Immm (No. 71)
Symmetry-distinct sites (fractional):
1 Sr 0.0000 0.0000 0.1651  8 F 2.51-2.53
2 Cd 0.0000 0.0000 0.5000  8 F 2.40-2.44
3 F 0.0000 0.2432 0.3393  1 Cd 2.40, 3 Sr 2.51-2.53
4 F 0.0000 0.2639 0.0000  2 Cd 2.44, 2 Sr 2.51, 1 F 2.71

Computed properties:
E_form (uncorrected): -3.35 eV/atom
Fermi-level density of states: 0.000 states/eV/cell
V: 15.7 Å³ per atom
electronic total energy: -91.4 eV for the cell shown